Here is a geometry-optimized NdMn2O5 structure from Alexandria via LeMat-Bulk. Energies are from GGA+U.

## Properties
ΔE to the lowest computed polymorph: 0.0 kJ/mol of atoms
Raw total energy: -247.4 eV for the cell shown

Lattice parameters (Å, degrees): 7.594 8.729 5.830 90.00 90.00 90.00
Fractional positions:
Nd 0.141 0.172 0.000
Nd 0.359 0.672 0.000
Nd 0.641 0.328 0.000
Nd 0.859 0.828 0.000
Mn 0.000 0.500 0.257
Mn 0.000 0.500 0.743
Mn 0.090 0.850 0.500
Mn 0.410 0.350 0.500
Mn 0.500 0.000 0.257
Mn 0.500 0.000 0.743
Mn 0.590 0.650 0.500
Mn 0.910 0.150 0.500
O 0.000 0.000 0.276
O 0.000 0.000 0.724
O 0.100 0.707 0.247
O 0.100 0.707 0.753
O 0.152 0.435 0.500
O 0.158 0.447 0.000
O 0.342 0.947 0.000
O 0.348 0.935 0.500
O 0.400 0.207 0.247
O 0.400 0.207 0.753
O 0.500 0.500 0.276
O 0.500 0.500 0.724
O 0.600 0.793 0.247
O 0.600 0.793 0.753
O 0.652 0.065 0.500
O 0.658 0.053 0.000
O 0.842 0.553 0.000
O 0.848 0.565 0.500
O 0.900 0.293 0.247
O 0.900 0.293 0.753